[1]
## LiTc (PBE)

Data for a relaxed structure of LiTc.

Results
formation energy from the elements: 361 meV per atom
magnetic moment: 0.0 μB/cell
density of states at the Fermi level: 0.60 states/eV per atom
electronic total energy: -11.558 eV per formula unit
energy relative to the lowest polymorph listed for this composition: 0.267 eV per atom

Lattice parameters (Å, degrees): 9.342 9.342 2.468 90.00 90.00 120.00
Sites, in units of the cell vectors:
Li (0.065, 0.296, 0.250)
Li (0.231, 0.935, 0.250)
Li (0.296, 0.231, 0.750)
Li (0.704, 0.769, 0.250)
Li (0.769, 0.065, 0.750)
Li (0.935, 0.704, 0.750)
Tc (0.151, 0.614, 0.250)
Tc (0.386, 0.538, 0.250)
Tc (0.462, 0.849, 0.250)
Tc (0.538, 0.151, 0.750)
Tc (0.614, 0.462, 0.750)
Tc (0.849, 0.386, 0.750)

---

[2]
## ErTm5In2Pb (PBE)

Data for a relaxed structure of ErTm5In2Pb.

Results
formation energy from the elements: -39 meV per atom
magnetic moment: 0.0 μB/cell
density of states at the Fermi level: 1.01 states/eV per atom
electronic total energy: -36.458 eV per formula unit

Lattice parameters (Å, degrees): 9.297 9.297 9.297 125.91 125.91 80.04
Sites, in units of the cell vectors:
Er (0.250, 0.750, 0.500)
Er (0.750, 0.250, 0.500)
Tm (0.000, 0.000, 0.000)
Tm (0.077, 0.577, 0.920)
Tm (0.157, 0.077, 0.500)
Tm (0.343, 0.843, 0.920)
Tm (0.423, 0.343, 0.500)
Tm (0.500, 0.500, 0.000)
Tm (0.577, 0.657, 0.500)
Tm (0.657, 0.157, 0.080)
Tm (0.843, 0.923, 0.500)
Tm (0.923, 0.423, 0.080)
In (0.111, 0.389, 0.500)
In (0.389, 0.889, 0.277)
In (0.611, 0.111, 0.723)
In (0.889, 0.611, 0.500)
Pb (0.250, 0.250, 0.000)
Pb (0.750, 0.750, 0.000)

---

Copy entry 1 word for word.
## LiTc (PBE)

Data for a relaxed structure of LiTc.

Results
formation energy from the elements: 361 meV per atom
magnetic moment: 0.0 μB/cell
density of states at the Fermi level: 0.60 states/eV per atom
electronic total energy: -11.558 eV per formula unit
energy relative to the lowest polymorph listed for this composition: 0.267 eV per atom

Lattice parameters (Å, degrees): 9.342 9.342 2.468 90.00 90.00 120.00
Sites, in units of the cell vectors:
Li (0.065, 0.296, 0.250)
Li (0.231, 0.935, 0.250)
Li (0.296, 0.231, 0.750)
Li (0.704, 0.769, 0.250)
Li (0.769, 0.065, 0.750)
Li (0.935, 0.704, 0.750)
Tc (0.151, 0.614, 0.250)
Tc (0.386, 0.538, 0.250)
Tc (0.462, 0.849, 0.250)
Tc (0.538, 0.151, 0.750)
Tc (0.614, 0.462, 0.750)
Tc (0.849, 0.386, 0.750)